DFT (PBE-GGA) results for a relaxed Na2Np2PSe2 crystal.

abc: 8.304 8.304 8.304
angles: 143.09 143.09 53.19
Sites, in units of the cell vectors:
1 Na 0.192 0.192 0.000
2 Na 0.808 0.808 0.000
3 Np 0.000 0.500 0.500
4 Np 0.500 0.000 0.500
5 P 0.000 0.000 0.000
6 Se 0.383 0.383 0.000
7 Se 0.617 0.617 0.000

## Properties
Density (Mg/m³): 5.7
E_tot (eV/atom): -6.50